# 1
DFT (GGA-PBEsol) results for a geometry-optimized NbRhN2 structure.

## Properties
Formation energy without anion corrections ... -103 kJ/mol of formula units
SG ... R-3m (166)

abc: 6.4058 6.4058 6.4058
angles: 27.52 27.52 27.52
Sites, in units of the cell vectors:
Nb  0.0000  0.0000  0.0000
Rh  0.5000  0.5000  0.5000
N  0.3951  0.3951  0.3951
N  0.6049  0.6049  0.6049

***

# 2
DFT (GGA-PBEsol) results for a geometry-optimized NbRhN2 structure.

## Properties
Formation energy without anion corrections ... 75 kJ/mol of formula units
SG ... Fm-3m (225)

abc: 3.8348 3.8348 3.8348
angles: 60.00 60.00 60.00
Sites, in units of the cell vectors:
Nb  0.0000  0.0000  0.0000
Rh  0.5000  0.5000  0.5000
N  0.2500  0.2500  0.2500
N  0.7500  0.7500  0.7500

***

# 3
DFT (GGA-PBEsol) results for a geometry-optimized NbRh3N structure.

## Properties
Formation energy without anion corrections ... 29 kJ/mol of formula units
SG ... Pm-3m (221)

abc: 4.0333 4.0333 4.0333
angles: 90.00 90.00 90.00
Sites, in units of the cell vectors:
Nb  0.0000  0.0000  0.0000
Rh  0.0000  0.5000  0.5000
Rh  0.5000  0.0000  0.5000
Rh  0.5000  0.5000  0.0000
N  0.5000  0.5000  0.5000

***

# 4
DFT (GGA-PBEsol) results for a geometry-optimized NbTeRuN2 structure.

## Properties
Formation energy without anion corrections ... 438 kJ/mol of formula units
SG ... P4/mmm (123)

abc: 3.9500 3.9500 5.8127
angles: 90.00 90.00 90.00
Sites, in units of the cell vectors:
Nb  0.0000  0.0000  0.0000
Te  0.0000  0.0000  0.5000
Ru  0.5000  0.5000  0.5000
N  0.0000  0.5000  0.0000
N  0.5000  0.0000  0.0000

***

# 5
DFT (GGA-PBEsol) results for a geometry-optimized Nb3SN structure.

## Properties
Formation energy without anion corrections ... -151 kJ/mol of formula units
SG ... Pm-3m (221)

abc: 4.1972 4.1972 4.1972
angles: 90.00 90.00 90.00
Sites, in units of the cell vectors:
Nb  0.0000  0.0000  0.5000
Nb  0.0000  0.5000  0.0000
Nb  0.5000  0.0000  0.0000
S  0.5000  0.5000  0.5000
N  0.0000  0.0000  0.0000

***

# 6
DFT (GGA-PBEsol) results for a geometry-optimized NbSeSN2 structure.

## Properties
Formation energy without anion corrections ... 596 kJ/mol of formula units
SG ... P4/mmm (123)

abc: 3.7973 3.7973 4.5276
angles: 90.00 90.00 90.00
Sites, in units of the cell vectors:
Nb  0.0000  0.0000  0.0000
Se  0.5000  0.5000  0.5000
S  0.5000  0.5000  0.0000
N  0.0000  0.5000  0.5000
N  0.5000  0.0000  0.5000

***

# 7
DFT (GGA-PBEsol) results for a geometry-optimized NbTcS2N structure.

## Properties
Formation energy without anion corrections ... 269 kJ/mol of formula units
SG ... P4/mmm (123)

abc: 4.8601 4.8601 3.8578
angles: 90.00 90.00 90.00
Sites, in units of the cell vectors:
Nb  0.0000  0.0000  0.0000
Tc  0.5000  0.5000  0.5000
S  0.0000  0.5000  0.0000
S  0.5000  0.0000  0.0000
N  0.0000  0.0000  0.5000

***

# 8
DFT (GGA-PBEsol) results for a geometry-optimized NbTlSN2 structure.

## Properties
Formation energy without anion corrections ... 885 kJ/mol of formula units
SG ... P4/mmm (123)

abc: 4.0878 4.0878 5.1482
angles: 90.00 90.00 90.00
Sites, in units of the cell vectors:
Nb  0.0000  0.0000  0.0000
Tl  0.5000  0.5000  0.5000
S  0.5000  0.5000  0.0000
N  0.0000  0.5000  0.5000
N  0.5000  0.0000  0.5000

***

# 9
DFT (GGA-PBEsol) results for a geometry-optimized NbTlSN2 structure.

## Properties
Formation energy without anion corrections ... 41 kJ/mol of formula units
SG ... P4/mmm (123)

abc: 4.0310 4.0310 5.1690
angles: 90.00 90.00 90.00
Sites, in units of the cell vectors:
Nb  0.0000  0.0000  0.0000
Tl  0.5000  0.5000  0.5000
S  0.0000  0.0000  0.5000
N  0.0000  0.5000  0.0000
N  0.5000  0.0000  0.0000

***

# 10
DFT (GGA-PBEsol) results for a geometry-optimized NbSbTeN2 structure.

## Properties
Formation energy without anion corrections ... 224 kJ/mol of formula units
SG ... P4/mmm (123)

abc: 4.1247 4.1247 5.6421
angles: 90.00 90.00 90.00
Sites, in units of the cell vectors:
Nb  0.0000  0.0000  0.0000
Sb  0.5000  0.5000  0.5000
Te  0.0000  0.0000  0.5000
N  0.0000  0.5000  0.0000
N  0.5000  0.0000  0.0000

***

# 11
DFT (GGA-PBEsol) results for a geometry-optimized NbSe3N structure.

## Properties
Formation energy without anion corrections ... 421 kJ/mol of formula units
SG ... Pm-3m (221)

abc: 4.9907 4.9907 4.9907
angles: 90.00 90.00 90.00
Sites, in units of the cell vectors:
Nb  0.0000  0.0000  0.0000
Se  0.0000  0.0000  0.5000
Se  0.0000  0.5000  0.0000
Se  0.5000  0.0000  0.0000
N  0.5000  0.5000  0.5000

***

# 12
DFT (GGA-PBEsol) results for a geometry-optimized NbSnSe2N structure.

## Properties
Formation energy without anion corrections ... -102 kJ/mol of formula units
SG ... P4/mmm (123)

abc: 5.1781 5.1781 3.8980
angles: 90.00 90.00 90.00
Sites, in units of the cell vectors:
Nb  0.0000  0.0000  0.0000
Sn  0.5000  0.5000  0.5000
Se  0.0000  0.5000  0.0000
Se  0.5000  0.0000  0.0000
N  0.0000  0.0000  0.5000

***

# 13
DFT (GGA-PBEsol) results for a geometry-optimized NbTcSe2N structure.

## Properties
Formation energy without anion corrections ... 315 kJ/mol of formula units
SG ... P4/mmm (123)

abc: 5.0982 5.0982 3.8400
angles: 90.00 90.00 90.00
Sites, in units of the cell vectors:
Nb  0.0000  0.0000  0.0000
Tc  0.5000  0.5000  0.5000
Se  0.0000  0.5000  0.0000
Se  0.5000  0.0000  0.0000
N  0.0000  0.0000  0.5000

***

# 14
DFT (GGA-PBEsol) results for a geometry-optimized ZrNbSeN2 structure.

## Properties
Formation energy without anion corrections ... 195 kJ/mol of formula units
SG ... P4/mmm (123)

abc: 4.0816 4.0816 5.1952
angles: 90.00 90.00 90.00
Sites, in units of the cell vectors:
Zr  0.0000  0.0000  0.0000
Nb  0.5000  0.5000  0.5000
Se  0.0000  0.0000  0.5000
N  0.0000  0.5000  0.0000
N  0.5000  0.0000  0.0000

***

# 15
DFT (GGA-PBEsol) results for a geometry-optimized Nb2SiN structure.

## Properties
Formation energy without anion corrections ... -43 kJ/mol of formula units
SG ... I-42d (122)

abc: 6.3793 6.3793 6.3793
angles: 132.39 132.39 69.62
Sites, in units of the cell vectors:
Nb  0.0434  0.6250  0.9184
Nb  0.3750  0.2934  0.4184
Nb  0.7066  0.1250  0.0816
Nb  0.8750  0.9566  0.5816
Si  0.2500  0.7500  0.5000
Si  0.5000  0.5000  0.0000
N  0.0000  0.0000  0.0000
N  0.7500  0.2500  0.5000

***

# 16
DFT (GGA-PBEsol) results for a geometry-optimized Nb5Si3N structure.

## Properties
Formation energy without anion corrections ... -753 kJ/mol of formula units
SG ... P6_3/mcm (193)

abc: 7.4787 7.4787 5.3660
angles: 90.00 90.00 120.00
Sites, in units of the cell vectors:
Nb  0.0000  0.2332  0.2500
Nb  0.0000  0.7668  0.7500
Nb  0.2332  0.0000  0.2500
Nb  0.2332  0.2332  0.7500
Nb  0.3333  0.6667  0.0000
Nb  0.3333  0.6667  0.5000
Nb  0.6667  0.3333  0.0000
Nb  0.6667  0.3333  0.5000
Nb  0.7668  0.0000  0.7500
Nb  0.7668  0.7668  0.2500
Si  0.0000  0.4066  0.7500
Si  0.0000  0.5934  0.2500
Si  0.4066  0.0000  0.7500
Si  0.4066  0.4066  0.2500
Si  0.5934  0.0000  0.2500
Si  0.5934  0.5934  0.7500
N  0.0000  0.0000  0.0000
N  0.0000  0.0000  0.5000

***

# 17
DFT (GGA-PBEsol) results for a geometry-optimized NbSiWN2 structure.

## Properties
Formation energy without anion corrections ... 711 kJ/mol of formula units
SG ... P4/mmm (123)

abc: 3.6451 3.6451 5.0043
angles: 90.00 90.00 90.00
Sites, in units of the cell vectors:
Nb  0.0000  0.0000  0.0000
Si  0.0000  0.0000  0.5000
W  0.5000  0.5000  0.0000
N  0.0000  0.5000  0.5000
N  0.5000  0.0000  0.5000

***

# 18
DFT (GGA-PBEsol) results for a geometry-optimized NbZnSnN2 structure.

## Properties
Formation energy without anion corrections ... 220 kJ/mol of formula units
SG ... P4/mmm (123)

abc: 4.0429 4.0429 5.2186
angles: 90.00 90.00 90.00
Sites, in units of the cell vectors:
Nb  0.0000  0.0000  0.0000
Zn  0.0000  0.0000  0.5000
Sn  0.5000  0.5000  0.5000
N  0.0000  0.5000  0.0000
N  0.5000  0.0000  0.0000

***

# 19
DFT (GGA-PBEsol) results for a geometry-optimized TaNbN2 structure.

## Properties
Formation energy without anion corrections ... -274 kJ/mol of formula units
SG ... R-3m (166)

abc: 6.5372 6.5372 6.5372
angles: 27.40 27.40 27.40
Sites, in units of the cell vectors:
Ta  0.0000  0.0000  0.0000
Nb  0.5000  0.5000  0.5000
N  0.3918  0.3918  0.3918
N  0.6082  0.6082  0.6082

***

# 20
DFT (GGA-PBEsol) results for a geometry-optimized NbTcW2N structure.

## Properties
Formation energy without anion corrections ... 1094 kJ/mol of formula units
SG ... P4/mmm (123)

abc: 4.8690 4.8690 3.8015
angles: 90.00 90.00 90.00
Sites, in units of the cell vectors:
Nb  0.0000  0.0000  0.0000
Tc  0.5000  0.5000  0.5000
W  0.0000  0.5000  0.0000
W  0.5000  0.0000  0.0000
N  0.0000  0.0000  0.5000